(1)
Here is a relaxed BaIn2RePd crystal from Alexandria. Energies are from GGA-PBE.

The calculation puts the formation energy at 208 meV/atom. For the total magnetization, the calculation gives 0.0 μB/cell.

The structure belongs to space group P4/mmm (No. 123); the cell edges are 5.267, 5.267 and 5.053 Å and the angles 90.00°, 90.00° and 90.00°. Symmetry generates all atoms from Ba at (0.000, 0.000, 0.000), In at (0.000, 0.500, 0.500), Re at (0.500, 0.500, 0.500) and Pd at (0.500, 0.500, 0.000).

=====

(2)
Here is a relaxed BaIn3PdRh crystal from Alexandria. Energies are from GGA-PBE.

The calculation puts the formation energy at -377 meV/atom. For the total magnetization, the calculation gives 0.0 μB/cell.

The structure belongs to space group Cmcm (No. 63); the cell edges are 7.518, 11.947 and 7.406 Å and the angles 90.00°, 90.00° and 90.00°. Symmetry generates all atoms from Ba at (0.000, 0.244, 0.250), In at (0.000, 0.255, 0.750), In at (0.245, 0.000, 0.000), Pd at (0.000, 0.471, 0.750) and Rh at (0.000, 0.043, 0.750).

=====

(3)
Here is a relaxed Ba2In6PdRh crystal from Alexandria. Energies are from GGA-PBE.

The calculation puts the formation energy at -396 meV/atom. For the total magnetization, the calculation gives 0.0 μB/cell.

The structure belongs to space group Immm (No. 71); the cell edges are 7.432, 7.452 and 10.416 Å and the angles 90.00°, 90.00° and 90.00°. Symmetry generates all atoms from Ba at (0.000, 0.000, 0.210), In at (0.000, 0.500, 0.249), In at (0.216, 0.214, 0.500), Pd at (0.000, 0.500, 0.500) and Rh at (0.000, 0.500, 0.000).

=====

(4)
Here is a relaxed Ba2In4Pd3Rh crystal from Alexandria. Energies are from GGA-PBE.

The calculation puts the formation energy at -544 meV/atom. For the total magnetization, the calculation gives 0.0 μB/cell.

The structure belongs to space group P-4m2 (No. 115); the cell edges are 4.736, 4.736 and 11.129 Å and the angles 90.00°, 90.00° and 90.00°. Symmetry generates all atoms from Ba at (0.000, 0.500, 0.237), In at (0.000, 0.000, 0.500), In at (0.000, 0.500, 0.881), In at (0.500, 0.500, 0.500), Pd at (0.000, 0.000, 0.000), Pd at (0.000, 0.500, 0.632) and Rh at (0.500, 0.500, 0.000).

=====

(5)
Here is a relaxed BaInPdRu2 crystal from Alexandria. Energies are from GGA-PBE.

The calculation puts the formation energy at 877 meV/atom. For the total magnetization, the calculation gives 2.7 μB/cell.

The structure belongs to space group P4/mmm (No. 123); the cell edges are 5.053, 5.053 and 5.072 Å and the angles 90.00°, 90.00° and 90.00°. Symmetry generates all atoms from Ba at (0.000, 0.000, 0.000), In at (0.500, 0.500, 0.500), Pd at (0.500, 0.500, 0.000) and Ru at (0.000, 0.500, 0.500).

=====

(6)
Here is a relaxed Ba2InSb3Pd4 crystal from Alexandria. Energies are from GGA-PBE.

The formation energy without anion corrections comes out at -0.77 eV per atom. For the total magnetization, the calculation gives 0.0 μB/cell.

The structure belongs to space group P-4m2 (No. 115); the cell edges are 4.769, 4.769 and 10.961 Å and the angles 90.00°, 90.00° and 90.00°. Symmetry generates all atoms from Ba at (0.000, 0.500, 0.243), In at (0.000, 0.000, 0.500), Sb at (0.000, 0.500, 0.877), Sb at (0.500, 0.500, 0.500), Pd at (0.000, 0.000, 0.000), Pd at (0.000, 0.500, 0.629) and Pd at (0.500, 0.500, 0.000).

=====

(7)
Here is a relaxed Ba2InSb4Pd3 crystal from Alexandria. Energies are from GGA-PBE.

The formation energy without anion corrections comes out at -0.70 eV per atom. For the total magnetization, the calculation gives 0.0 μB/cell.

The structure belongs to space group P-4m2 (No. 115); the cell edges are 4.826, 4.826 and 11.340 Å and the angles 90.00°, 90.00° and 90.00°. Symmetry generates all atoms from Ba at (0.000, 0.500, 0.244), In at (0.000, 0.000, 0.500), Sb at (0.000, 0.000, 0.000), Sb at (0.000, 0.500, 0.644), Sb at (0.500, 0.500, 0.000), Pd at (0.000, 0.500, 0.884) and Pd at (0.500, 0.500, 0.500).

=====

(8)
Here is a relaxed Ba2InSbPd6 crystal from Alexandria. Energies are from GGA-PBE.

The formation energy without anion corrections comes out at -0.56 eV per atom. For the total magnetization, the calculation gives 0.0 μB/cell.

The structure belongs to space group P-1 (No. 2); the cell edges are 6.942, 6.996 and 7.159 Å and the angles 62.69°, 61.26° and 60.41°. Symmetry generates all atoms from Ba at (0.222, 0.220, 0.335), In at (0.500, 0.500, 0.500), Sb at (0.000, 0.000, 0.000), Pd at (0.248, 0.250, 0.851), Pd at (0.253, 0.635, 0.869) and Pd at (0.351, 0.760, 0.147).